1.
Density functional theory data (PBE) for a relaxed structure of HgOsO3.

Energy: -19.35 eV/f.u.
Formation energy from raw total energies: 1.410 eV per atom

Lattice parameters (Å, degrees): 4.142 4.142 4.142 90.00 90.00 90.00
Space group Pm-3m (No. 221)
One atom of each set of equivalent atoms:
Hg 0.000 0.000 0.000 [1 per cell]
Os 0.500 0.500 0.500 [1 per cell]
O 0.000 0.000 0.500 [3 per cell]



2.
Density functional theory data (PBE) for a relaxed structure of Sb2RhAu.

Energy: -18.90 eV/f.u.
Formation energy from raw total energies: -0.007 eV per atom

Lattice parameters (Å, degrees): 4.836 4.836 16.266 90.00 90.00 90.00
Space group I-42d (No. 122)
One atom of each set of equivalent atoms:
Sb 0.224 0.250 0.125 [8 per cell]
Rh 0.000 0.000 0.000 [4 per cell]
Au 0.000 0.000 0.500 [4 per cell]



3.
Density functional theory data (PBE) for a relaxed structure of ZrTl4Co.

Energy: -19.91 eV/f.u.
Formation enthalpy at 0 K: 869 meV per atom

Lattice parameters (Å, degrees): 8.543 8.543 8.543 90.00 90.00 90.00
Space group F-43m (No. 216)
One atom of each set of equivalent atoms:
Zr 0.000 0.000 0.000 [4 per cell]
Tl 0.125 0.125 0.375 [16 per cell]
Co 0.250 0.250 0.750 [4 per cell]



4.
Density functional theory data (PBE) for a relaxed structure of Al4RhPb.

Energy: -25.15 eV/f.u.
Formation enthalpy at 0 K: 147 meV per atom

Lattice parameters (Å, degrees): 7.597 7.597 7.597 90.00 90.00 90.00
Space group F-43m (No. 216)
One atom of each set of equivalent atoms:
Al 0.125 0.125 0.125 [16 per cell]
Rh 0.000 0.000 0.500 [4 per cell]
Pb 0.250 0.250 0.750 [4 per cell]



5.
Density functional theory data (PBE) for a relaxed structure of Ta4Nb3Os2.

Energy: -102.80 eV/f.u.
Formation enthalpy at 0 K: -303 meV per atom

Lattice parameters (Å, degrees): 4.5565 4.5565 8.5408 90.00 90.00 120.00
Space group P-3m1 (No. 164)
One atom of each set of equivalent atoms:
Ta 0.0000 0.0000 0.1744 [2 per cell]
Ta 0.3333 0.6667 0.6096 [2 per cell]
Nb 0.0000 0.0000 0.5000 [1 per cell]
Nb 0.3333 0.6667 0.9500 [2 per cell]
Os 0.3333 0.6667 0.2775 [2 per cell]



6.
Density functional theory data (PBE) for a relaxed structure of K4Pu3PdS8.

Energy: -106.33 eV/f.u.
Formation energy from raw total energies: -1.296 eV per atom

Lattice parameters (Å, degrees): 14.509 7.851 8.642 90.00 121.79 90.00
Space group C2/m (No. 12)
One atom of each set of equivalent atoms:
K 0.000 0.000 0.000 [2 per cell]
K 0.000 0.500 0.000 [2 per cell]
K 0.250 0.250 0.000 [4 per cell]
Pu 0.000 0.000 0.500 [2 per cell]
Pu 0.250 0.250 0.500 [4 per cell]
Pd 0.000 0.500 0.500 [2 per cell]
S 0.021 0.273 0.320 [8 per cell]
S 0.230 0.000 0.702 [4 per cell]
S 0.235 0.000 0.278 [4 per cell]



Q: energy of number 1 (HgOsO3)?
A: -19.35 eV/f.u.



Q: Which of these has the highest energy?
A: Sb2RhAu



Q: What is the energy in the fourth record?
A: -25.15 eV/f.u.



What did the fifth record say?
Density functional theory data (PBE) for a relaxed structure of Ta4Nb3Os2.

Energy: -102.80 eV/f.u.
Formation enthalpy at 0 K: -303 meV per atom

Lattice parameters (Å, degrees): 4.5565 4.5565 8.5408 90.00 90.00 120.00
Space group P-3m1 (No. 164)
One atom of each set of equivalent atoms:
Ta 0.0000 0.0000 0.1744 [2 per cell]
Ta 0.3333 0.6667 0.6096 [2 per cell]
Nb 0.0000 0.0000 0.5000 [1 per cell]
Nb 0.3333 0.6667 0.9500 [2 per cell]
Os 0.3333 0.6667 0.2775 [2 per cell]